Ce2SmNpSb4 | PBE | optimized geometry

abc: 4.4716 7.7513 7.7160
angles: 109.50 90.00 90.00
Last column: magnetic moment on the atom in μB.
Sites, in units of the cell vectors:
Ce 0.5000 0.0000 0.5000  0.73
Ce 0.0000 0.5000 0.5000  0.73
Sb 0.0000 0.2532 0.7539  -0.06
Sb 0.0000 0.7468 0.2461  -0.06
Sb 0.5000 0.2517 0.2482  -0.04
Sb 0.5000 0.7483 0.7518  -0.04
Sm 0.0000 0.0000 0.0000  0.01
Np 0.5000 0.5000 0.0000  3.92

Calculated values
Its calculated volume is 252.1 Å³ per cell. The symmetry is P2/m (10). The value obtained for the uncorrected formation energy is -0.86 eV per atom.